This record from Alexandria describes a relaxed Sr2NiN2 crystal. The functional is PBE-GGA.

Calculated values
Total magnetic moment: 2.00 μB per formula unit
Formation energy (no corrections): -0.535 eV per atom
SG: No. 139
Final energy: -5.694 eV/atom
Volume: 18.4 Å³/atom
D(E_F): 0.062 states/eV per atom

Geometry as POSCAR:
```
Sr2NiN2
1.0
3.842 0.000 0.000
0.000 3.842 0.000
-1.921 -1.921 6.246
Ni N Sr
1 2 2
direct
0.000 0.000 0.000 Ni
0.141 0.141 0.282 N
0.859 0.859 0.718 N
0.648 0.648 0.296 Sr
0.352 0.352 0.704 Sr
```



This record from Alexandria describes a relaxed CeSmErPb crystal. The functional is PBE-GGA.

Calculated values
Total magnetic moment: 0.66 μB per formula unit
SG: No. 216
Final energy: -4.788 eV/atom
Volume: 28.9 Å³/atom
Energy of formation: -57 meV per atom
D(E_F): 2.064 states/eV per atom

Geometry as POSCAR:
```
CeSmErPb
1.0
-1.314 1.332 -5.136
-5.249 0.223 -1.508
-2.337 4.826 -1.059
Sm Pb Er Ce
1 1 1 1
direct
0.250 0.250 0.250 Sm
0.500 0.500 0.500 Pb
0.750 0.750 0.750 Er
0.000 0.000 0.000 Ce
```



This record from Alexandria describes a relaxed Tb3Nd2DyAs6 crystal. The functional is PBE-GGA.

Calculated values
Total magnetic moment: 0.00 μB per formula unit
SG: No. 12
Final energy: -6.185 eV/atom
Volume: 25.8 Å³/atom
Energy of formation: -1524 meV per atom
D(E_F): 0.147 states/eV per atom

Geometry as POSCAR:
```
Tb3Nd2DyAs6
1.0
4.183 0.000 0.000
0.000 8.355 0.299
-2.091 -2.406 8.787
Tb As Nd Dy
3 6 2 1
direct
0.167 0.834 0.334 Tb
0.500 0.500 0.000 Tb
0.833 0.166 0.666 Tb
0.665 0.588 0.330 As
0.334 0.923 0.668 As
0.666 0.077 0.332 As
0.998 0.248 0.995 As
0.335 0.412 0.670 As
0.002 0.752 0.005 As
0.834 0.668 0.668 Nd
0.166 0.332 0.332 Nd
0.500 0.000 0.000 Dy
```



This record from Alexandria describes a relaxed InCCl3 crystal. The functional is PBE-GGA.

Calculated values
Total magnetic moment: 0.00 μB per formula unit
Formation energy (no corrections): 0.517 eV per atom
SG: No. 221
Final energy: -2.984 eV/atom
Volume: 20.4 Å³/atom
D(E_F): 0.000 states/eV per atom

Geometry as POSCAR:
```
InCCl3
1.0
4.674 0.000 0.000
0.000 4.674 0.000
0.000 0.000 4.674
C Cl In
1 3 1
direct
0.000 0.000 0.000 C
0.000 0.000 0.500 Cl
0.500 0.000 0.000 Cl
0.000 0.500 0.000 Cl
0.500 0.500 0.500 In
```



This record from Alexandria describes a relaxed Ac6As5Br crystal. The functional is PBE-GGA.

Calculated values
Total magnetic moment: 0.00 μB per formula unit
Formation energy (no corrections): -1.515 eV per atom
SG: No. 12
Final energy: -5.646 eV/atom
Volume: 33.2 Å³/atom
D(E_F): 0.273 states/eV per atom

Geometry as POSCAR:
```
Ac6As5Br
1.0
-5.606 -0.774 -5.453
2.884 -3.923 -6.200
-0.495 -7.855 -0.272
Ac As Br
6 5 1
direct
0.258 0.914 0.651 Ac
0.742 0.086 0.349 Ac
0.742 0.435 0.651 Ac
0.742 0.738 0.000 Ac
0.258 0.262 0.000 Ac
0.258 0.565 0.349 Ac
0.500 0.500 0.000 As
0.000 0.333 0.334 As
0.000 0.667 0.666 As
0.500 0.837 0.325 As
0.500 0.163 0.675 As
0.000 0.000 0.000 Br
```



This record from Alexandria describes a relaxed Ac4ZnHg2 crystal. The functional is PBE-GGA.

Calculated values
Total magnetic moment: 0.00 μB per formula unit
SG: No. 166
Final energy: -2.879 eV/atom
Volume: 35.7 Å³/atom
Energy of formation: -263 meV per atom
D(E_F): 1.329 states/eV per atom

Geometry as POSCAR:
```
Ac4ZnHg2
1.0
5.378 0.000 1.680
2.426 4.799 1.680
-0.067 -0.041 9.662
Ac Hg Zn
4 2 1
direct
0.876 0.876 0.373 Ac
0.375 0.375 0.874 Ac
0.625 0.625 0.126 Ac
0.124 0.124 0.627 Ac
0.249 0.249 0.252 Hg
0.751 0.751 0.748 Hg
0.000 0.000 0.000 Zn
```